Here is an optimized crystal structure of Th2Be4GaIr3 from Alexandria. Energies are from PBE.

Cell: 3.961 3.961 10.098 Å, 90.00 90.00 90.00°
Space group P-4m2 (No. 115)
Inequivalent atoms, fractional coordinates:
Th (0.000, 0.500, 0.247) x2
Be (0.000, 0.000, 0.000) x1
Be (0.000, 0.500, 0.630) x2
Be (0.500, 0.500, 0.000) x1
Ga (0.000, 0.000, 0.500) x1
Ir (0.000, 0.500, 0.872) x2
Ir (0.500, 0.500, 0.500) x1

Results
The value obtained for the formation energy is -0.58 eV per atom. Its crystal system is tetragonal. The calculation puts the volume at 15.85 A^3/atom. The magnetization is 0.0000 μB/atom. As for the density of states at the Fermi level: 6.0 states/eV per cell.


Here is an optimized crystal structure of Ti2Be2GaIr5 from Alexandria. Energies are from PBE.

Cell: 9.379 9.379 3.041 Å, 90.00 90.00 90.00°
Space group P4/mbm (No. 127)
Inequivalent atoms, fractional coordinates:
Ti (0.174, 0.326, 0.000) x4
Be (0.125, 0.625, 0.000) x4
Ga (0.000, 0.000, 0.000) x2
Ir (0.000, 0.500, 0.500) x2
Ir (0.071, 0.791, 0.500) x8

Results
The value obtained for the formation energy is -0.71 eV per atom. Its crystal system is tetragonal. The calculation puts the volume at 13.38 A^3/atom. The magnetization is 0.0001 μB/atom. As for the density of states at the Fermi level: 5.9 states/eV per cell.